Density functional theory data (PBE with a Hubbard U) for a relaxed structure of MnPdO4.

Cell: 3.910 3.910 9.494 Å, 90.00 90.00 90.00°
Space group I-4m2 (No. 119)
Inequivalent atoms, fractional coordinates:
Mn1 0.000 0.000 0.000
Pd1 0.000 0.500 0.250
O1 0.000 0.000 0.202
O2 0.000 0.500 0.038

Results
DOS at the Fermi energy = 5.3 states/eV per cell
Polymorph energy (0 for the lowest one) = 80.0 kJ/mol of formula units